# 1
Li3AcMg2 after structural relaxation. Source: Alexandria via LeMat-Bulk, functional PBE.

Cell: 10.918 8.955 6.291 Å, 90.00 90.00 90.00°
Space group Cmcm (No. 63)
Unique sites:
Li (0.000, 0.048, 0.250)
Li (0.158, 0.279, 0.250)
Ac (0.000, 0.326, 0.750)
Mg (0.220, 0.000, 0.000)

Properties
Its total energy is -2.1434 eV per atom. Its total magnetic moment is 0.00 μB per cell. The density of states at the Fermi level is 5.43 states/eV/f.u.

# 2
Li12Ac2Mg5 after structural relaxation. Source: Alexandria via LeMat-Bulk, functional PBE.

Cell: 10.3253 10.3253 14.8210 Å, 90.00 90.00 120.00°
Space group R-3m (No. 166, hexagonal axes)
Unique sites:
Li (0.0000, 0.2887, 0.0000)
Li (0.0072, 0.5036, 0.8536)
Ac (0.0000, 0.0000, 0.3482)
Mg (0.0000, 0.0000, 0.1039)
Mg (0.0000, 0.5000, 0.5000)

Properties
Its total energy is -2.0435 eV per atom. Its total magnetic moment is 0.04 μB per cell. The density of states at the Fermi level is 14.66 states/eV/f.u.

# 3
Li5Ac2Mg5 after structural relaxation. Source: Alexandria via LeMat-Bulk, functional PBE.

Cell: 4.686 6.219 10.564 Å, 90.00 90.00 90.00°
Space group Pmmm (No. 47)
Unique sites:
Li (0.000, 0.000, 0.000)
Li (0.500, 0.000, 0.160)
Li (0.500, 0.500, 0.333)
Ac (0.500, 0.000, 0.500)
Ac (0.500, 0.500, 0.000)
Mg (0.000, 0.249, 0.246)
Mg (0.000, 0.500, 0.500)

Properties
Its total energy is -2.1819 eV per atom. Its total magnetic moment is 0.00 μB per cell. The density of states at the Fermi level is 8.65 states/eV/f.u.

# 4
Li12AcMg6 after structural relaxation. Source: Alexandria via LeMat-Bulk, functional PBE.

Cell: 12.0601 12.0601 10.5145 Å, 90.00 90.00 120.00°
Space group R-3m (No. 166, hexagonal axes)
Unique sites:
Li (0.0000, 0.3961, 0.0000)
Li (0.0910, 0.1819, 0.8107)
Ac (0.0000, 0.0000, 0.5000)
Mg (0.0356, 0.5178, 0.7497)

Properties
Its total energy is -1.8351 eV per atom. Its total magnetic moment is 0.00 μB per cell. The density of states at the Fermi level is 13.66 states/eV/f.u.

# 5
Li3AcMg3 after structural relaxation. Source: Alexandria via LeMat-Bulk, functional PBE.

Cell: 7.253 7.253 7.253 Å, 90.00 90.00 90.00°
Space group Pm-3n (No. 223)
Unique sites:
Li (0.000, 0.250, 0.500)
Ac (0.000, 0.000, 0.000)
Mg (0.000, 0.500, 0.250)

Properties
Its total energy is -1.7963 eV per atom. Its total magnetic moment is 0.00 μB per cell. The density of states at the Fermi level is 5.74 states/eV/f.u.

# 6
Li2AcMg after structural relaxation. Source: Alexandria via LeMat-Bulk, functional PBE.

Cell: 5.475 5.475 3.710 Å, 90.00 90.00 90.00°
Space group P4/mmm (No. 123)
Unique sites:
Li (0.000, 0.500, 0.000)
Ac (0.000, 0.000, 0.500)
Mg (0.500, 0.500, 0.500)

Properties
Its total energy is -2.2496 eV per atom. Its total magnetic moment is 0.00 μB per cell. The density of states at the Fermi level is 3.93 states/eV/f.u. The calculation puts the distance to the lowest polymorph of the same formula at 0.33 eV per formula unit.